Compound: Sr2Sc2Bi
Source: Alexandria via LeMat-Bulk
Functional: PBE
Structure: relaxed

Cell lengths 7.9104, 7.9104, 5.5708 Å; angles 90.00, 90.00, 90.00 degrees
Fractional positions:
Sr 0.1661 0.3339 0.0000
Sr 0.3339 0.8339 0.0000
Sr 0.6661 0.1661 0.0000
Sr 0.8339 0.6661 0.0000
Sc 0.1429 0.6429 0.5000
Sc 0.3571 0.1429 0.5000
Sc 0.6429 0.8571 0.5000
Sc 0.8571 0.3571 0.5000
Bi 0.0000 0.0000 0.5000
Bi 0.5000 0.5000 0.5000

Summary:
- energy of formation (eV per atom) = -0.086
- total moment (Bohr magnetons per cell) = 1.30
- energy relative to the lowest polymorph listed for this composition (meV/atom) = 0
- space-group type = P4/mbm
- E (eV per atom) = -4.068